--- A ---
PBE-GGA CdBiI2O, relaxed; symmetry = P4/mmm; M_tot = 0.00 Bohr magnetons per cell; crystal system = tetragonal; N(E_F) = 1.52 states/eV/atom
1.0
6.052 0.000 0.000
0.000 6.052 0.000
0.000 0.000 4.045
Cd Bi I O
1 1 2 1
direct
0.000 0.000 0.000 Cd
0.500 0.500 0.500 Bi
0.000 0.500 0.000 I
0.500 0.000 0.000 I
0.000 0.000 0.500 O

--- B ---
PBE-GGA CdBiI2O, relaxed; symmetry = P4/mmm; M_tot = 0.00 Bohr magnetons per cell; crystal system = tetragonal; N(E_F) = 0.78 states/eV/atom
1.0
6.321 0.000 0.000
0.000 6.321 0.000
0.000 0.000 4.319
Cd Bi I O
1 1 2 1
direct
0.000 0.000 0.000 Cd
0.500 0.500 0.500 Bi
0.000 0.500 0.500 I
0.500 0.000 0.500 I
0.500 0.500 0.000 O

Energies relative to the most stable structure are A 230; B 0, reported in meV per atom.

--- A ---
PBE-GGA Cd2InBi, relaxed; symmetry = P4/mmm; M_tot = 0.00 Bohr magnetons per cell; crystal system = tetragonal; N(E_F) = 0.40 states/eV/atom
1.0
4.788 0.000 0.000
0.000 4.788 0.000
0.000 0.000 4.651
Cd In Bi
2 1 1
direct
0.000 0.500 0.000 Cd
0.500 0.000 0.000 Cd
0.000 0.000 0.500 In
0.500 0.500 0.500 Bi

--- B ---
PBE-GGA Cd2InBi, relaxed; symmetry = I-42d; M_tot = 0.00 Bohr magnetons per cell; crystal system = tetragonal; N(E_F) = 0.57 states/eV/atom
1.0
-4.248 4.248 3.141
4.248 -4.248 3.141
4.248 4.248 -3.141
Cd In Bi
4 2 2
direct
0.123 0.625 0.998 Cd
0.375 0.373 0.498 Cd
0.627 0.125 0.002 Cd
0.875 0.877 0.502 Cd
0.000 0.000 0.000 In
0.750 0.250 0.500 In
0.250 0.750 0.500 Bi
0.500 0.500 0.000 Bi

Energies relative to the most stable structure are A 0; B 54, reported in meV per atom.

--- A ---
PBE-GGA Cd2In8Bi, relaxed; symmetry = P4/mmm; M_tot = 0.00 Bohr magnetons per cell; crystal system = tetragonal; N(E_F) = 0.49 states/eV/atom
1.0
4.682 0.000 0.000
0.000 4.682 0.000
0.000 0.000 14.132
Cd In Bi
2 8 1
direct
0.000 0.000 0.167 Cd
0.000 0.000 0.833 Cd
0.000 0.500 0.000 In
0.000 0.500 0.339 In
0.000 0.500 0.661 In
0.500 0.000 0.000 In
0.500 0.000 0.339 In
0.500 0.000 0.661 In
0.500 0.500 0.174 In
0.500 0.500 0.826 In
0.000 0.000 0.500 Bi

--- B ---
PBE-GGA Cd2In8Bi, relaxed; symmetry = C2/m; M_tot = 0.00 Bohr magnetons per cell; crystal system = monoclinic; N(E_F) = 0.41 states/eV/atom
1.0
6.674 -4.694 0.000
6.674 4.694 0.000
-1.436 0.000 5.321
Cd In Bi
2 8 1
direct
0.152 0.152 0.045 Cd
0.848 0.848 0.955 Cd
0.198 0.644 0.732 In
0.252 0.252 0.605 In
0.356 0.802 0.268 In
0.397 0.397 0.224 In
0.603 0.603 0.776 In
0.644 0.198 0.732 In
0.748 0.748 0.395 In
0.802 0.356 0.268 In
0.000 0.000 0.500 Bi

Energies relative to the most stable structure are A 0; B 62, reported in meV per atom.